[1]
Na3In3PbBr8, relaxed, DFT GGA-PBE; raw formation energy = -102.3 kJ/mol of atoms; theoretical density = 4.03 Mg/m³; final energy = -3.0113 eV per atom
1.0
-1.0031 -8.3416 -2.7217
-0.6943 1.9551 8.5921
-6.7286 2.6713 -5.7074
In Br Na Pb
3 8 3 1
direct
0.5000 0.5000 0.0000 In
0.0000 0.0000 0.0000 In
0.0000 0.5000 0.0000 In
0.2405 0.9786 0.7186 Br
0.2604 0.5208 0.2819 Br
0.7595 0.0214 0.2814 Br
0.7381 0.9786 0.7186 Br
0.7596 0.5191 0.2810 Br
0.2404 0.4809 0.7190 Br
0.7396 0.4792 0.7181 Br
0.2619 0.0214 0.2814 Br
0.5000 0.5000 0.5000 Na
0.0000 0.5000 0.5000 Na
0.5000 0.0000 0.5000 Na
0.0000 0.0000 0.5000 Pb



[2]
NaIn2PbBr6, relaxed, DFT GGA-PBE; raw formation energy = -86.2 kJ/mol of atoms; theoretical density = 4.34 Mg/m³; final energy = -2.9473 eV per atom
1.0
7.6646 -0.0007 -0.0023
-3.8326 6.6369 0.0003
-3.8307 -2.2110 7.0602
Br In Pb Na
6 2 1 1
direct
0.4870 0.8807 0.6715 Br
0.4851 0.0752 0.1886 Br
0.1275 0.4089 0.1886 Br
0.7938 0.7175 0.1885 Br
0.8049 0.6053 0.6716 Br
0.0804 0.1987 0.6716 Br
0.6095 0.8042 0.3994 In
0.6008 0.2998 0.8868 In
0.9908 0.9949 0.9718 Pb
0.9858 0.4925 0.4641 Na



[3]
NaInPb2Br6, relaxed, DFT GGA-PBE; raw formation energy = -94.7 kJ/mol of atoms; theoretical density = 4.61 Mg/m³; final energy = -3.1328 eV per atom
1.0
-4.5984 5.5116 -3.1905
-7.5895 0.4265 1.9824
-2.4638 6.3264 4.7955
Na Br Pb In
1 6 2 1
direct
0.3175 0.3174 0.0474 Na
0.6092 0.2361 0.2389 Br
0.2354 0.9158 0.2394 Br
0.7250 0.1472 0.7496 Br
0.1480 0.3782 0.7495 Br
0.9157 0.6098 0.2393 Br
0.3782 0.7243 0.7494 Br
0.5157 0.5154 0.4535 Pb
0.0095 0.0096 0.9716 Pb
0.8074 0.8079 0.5766 In



> Look up the raw formation energy of the third one.

-94.7 kJ/mol of atoms



> What is the theoretical density in the first record?

4.03 Mg/m³



> Among the records above, which one has the lowest final energy?

NaInPb2Br6